[1]
Material: VB4Mo3
Method: DFT, PBE
State: optimized geometry

Total energy ... -141.80 eV per cell
N(E_F) ... 8.65 states/eV/cell
Calculated volume ... 10.8 Å³/atom
SG ... No. 71
Crystal system ... orthorhombic

a = 3.055 Å, b = 4.730 Å, c = 11.979 Å
α = 90.00°, β = 90.00°, γ = 90.00°
Sites, in units of the cell vectors:
V 0.000 0.000 0.000
V 0.500 0.500 0.500
B 0.000 0.323 0.132
B 0.000 0.323 0.868
B 0.000 0.677 0.132
B 0.000 0.677 0.868
B 0.500 0.177 0.368
B 0.500 0.177 0.632
B 0.500 0.823 0.368
B 0.500 0.823 0.632
Mo 0.000 0.000 0.500
Mo 0.000 0.500 0.311
Mo 0.000 0.500 0.689
Mo 0.500 0.000 0.189
Mo 0.500 0.000 0.811
Mo 0.500 0.500 0.000



[2]
Material: V2B2Mo
Method: DFT, PBE
State: optimized geometry

Total energy ... -83.13 eV per cell
N(E_F) ... 4.52 states/eV/cell
Calculated volume ... 11.6 Å³/atom
SG ... No. 139
Crystal system ... tetragonal
ΔE to the lowest computed polymorph ... 798 meV per atom

a = 3.945 Å, b = 3.945 Å, c = 7.441 Å
α = 90.00°, β = 90.00°, γ = 90.00°
Sites, in units of the cell vectors:
V 0.000 0.000 0.168
V 0.000 0.000 0.832
V 0.500 0.500 0.332
V 0.500 0.500 0.668
B 0.000 0.500 0.250
B 0.000 0.500 0.750
B 0.500 0.000 0.250
B 0.500 0.000 0.750
Mo 0.000 0.000 0.500
Mo 0.500 0.500 0.000



[3]
Material: VB4Mo2
Method: DFT, PBE
State: optimized geometry

Total energy ... -106.12 eV per cell
N(E_F) ... 7.35 states/eV/cell
Calculated volume ... 11.4 Å³/atom
SG ... No. 139
Crystal system ... tetragonal

a = 3.815 Å, b = 3.815 Å, c = 11.010 Å
α = 90.00°, β = 90.00°, γ = 90.00°
Sites, in units of the cell vectors:
V 0.000 0.000 0.000
V 0.500 0.500 0.500
B 0.000 0.000 0.185
B 0.000 0.000 0.815
B 0.000 0.500 0.000
B 0.000 0.500 0.500
B 0.500 0.000 0.000
B 0.500 0.000 0.500
B 0.500 0.500 0.315
B 0.500 0.500 0.685
Mo 0.000 0.000 0.373
Mo 0.000 0.000 0.627
Mo 0.500 0.500 0.127
Mo 0.500 0.500 0.873



[4]
Material: VB4Mo6
Method: DFT, PBE
State: optimized geometry

Total energy ... -102.77 eV per cell
N(E_F) ... 6.84 states/eV/cell
Calculated volume ... 12.1 Å³/atom
SG ... No. 121
Crystal system ... tetragonal

a = 5.764 Å, b = 5.764 Å, c = 5.764 Å
α = 120.93°, β = 120.93°, γ = 88.39°
Sites, in units of the cell vectors:
V 0.000 0.000 0.000
B 0.306 0.306 0.729
B 0.422 0.694 0.000
B 0.578 0.578 0.271
B 0.694 0.422 0.000
Mo 0.000 0.500 0.500
Mo 0.083 0.464 0.000
Mo 0.464 0.083 0.000
Mo 0.500 0.000 0.500
Mo 0.536 0.536 0.620
Mo 0.917 0.917 0.380



[5]
Material: V2B2Mo
Method: DFT, PBE
State: optimized geometry

Total energy ... -82.25 eV per cell
N(E_F) ... 8.63 states/eV/cell
Calculated volume ... 11.0 Å³/atom
SG ... No. 127
Crystal system ... tetragonal
ΔE to the lowest computed polymorph ... 886 meV per atom

a = 6.659 Å, b = 6.659 Å, c = 2.474 Å
α = 90.00°, β = 90.00°, γ = 90.00°
Sites, in units of the cell vectors:
V 0.126 0.374 0.000
V 0.374 0.874 0.000
V 0.626 0.126 0.000
V 0.874 0.626 0.000
B 0.172 0.672 0.500
B 0.328 0.172 0.500
B 0.672 0.828 0.500
B 0.828 0.328 0.500
Mo 0.000 0.000 0.000
Mo 0.500 0.500 0.000



[6]
Material: V3B4Mo3
Method: DFT, PBE
State: optimized geometry

Total energy ... -92.80 eV per cell
N(E_F) ... 5.51 states/eV/cell
Calculated volume ... 10.7 Å³/atom
SG ... No. 38
Crystal system ... orthorhombic

a = 3.110 Å, b = 5.863 Å, c = 5.863 Å
α = 89.83°, β = 90.00°, γ = 90.00°
Sites, in units of the cell vectors:
V 0.000 0.000 0.000
V 0.500 0.320 0.825
V 0.500 0.825 0.320
B 0.500 0.206 0.206
B 0.500 0.435 0.435
B 0.500 0.717 0.938
B 0.500 0.938 0.717
Mo 0.000 0.143 0.501
Mo 0.000 0.501 0.143
Mo 0.000 0.646 0.646



| no. | formation energy (meV/atom) |
| --- | --- |
| 1 | -322 |
| 2 | 171 |
| 3 | 633 |
| 4 | -178 |
| 5 | 260 |
| 6 | -624 |